[1]
Compound: La3Mg3Al8
Source: the Alexandria database
Functional: PBE
Structure: relaxed

Lattice parameters (Å, degrees): 4.4998 10.1454 13.8297 90.00 90.00 90.00
Space group Immm (No. 71)
Unique sites:
1 La 0.0000 0.0000 0.0000 x2
2 La 0.0000 0.0000 0.3027 x4
3 Mg 0.0000 0.2078 0.5000 x4
4 Mg 0.0000 0.5000 0.0000 x2
5 Al 0.0000 0.2736 0.1471 x8
6 Al 0.0000 0.3687 0.3375 x8

Output
Its magnetic moment is 0.00 μB per atom. Its calculated total energy is -108.890 eV for the cell shown. Its crystal system is orthorhombic.


[2]
Compound: ZrCd2In2
Source: the Alexandria database
Functional: PBE
Structure: relaxed

Lattice parameters (Å, degrees): 4.1937 4.1937 13.4847 90.00 90.00 90.00
Space group I4/mmm (No. 139)
Unique sites:
1 Zr 0.0000 0.0000 0.0000 x2
2 Cd 0.0000 0.5000 0.2500 x4
3 In 0.0000 0.0000 0.4002 x4

Output
Its magnetic moment is 0.00 μB per atom. As for the distance to the lowest polymorph of the same formula: 77.8 meV/atom. Its crystal system is tetragonal.